1.
BaLaMg2 | Alexandria via LeMat-Bulk | GGA-PBE | optimized geometry; symmetry = I-42d, No. 122; crystal system = tetragonal; energy of formation from the pure elements = 0.3173 eV/atom
1.0
9.261 0.000 0.000
0.000 9.261 0.000
4.631 4.631 3.477
La Mg Ba
2 4 2
direct
0.750 0.250 0.500
0.000 0.000 0.000
0.875 0.891 0.750
0.641 0.125 0.250
0.109 0.625 0.250
0.375 0.359 0.750
0.250 0.750 0.500
0.500 0.500 0.000


2.
AcPa3Re4N12 | Alexandria via LeMat-Bulk | GGA-PBE | optimized geometry; uncorrected formation energy = -515 meV/atom; symmetry = R32, No. 155; crystal system = trigonal
1.0
-0.109 -5.954 4.171
6.058 -0.799 -3.939
1.699 5.309 4.666
Re N Pa Ac
4 12 3 1
direct
0.500 0.500 0.500
0.500 0.945 0.055
0.055 0.500 0.945
0.945 0.055 0.500
0.642 0.771 0.022
0.895 0.500 0.105
0.022 0.642 0.771
0.105 0.895 0.500
0.500 0.340 0.660
0.660 0.500 0.340
0.978 0.229 0.358
0.771 0.022 0.642
0.229 0.358 0.978
0.358 0.978 0.229
0.500 0.105 0.895
0.340 0.660 0.500
0.000 0.555 0.445
0.445 0.000 0.555
0.555 0.445 0.000
0.000 0.000 0.000


3.
Ac4DyZn5 | Alexandria via LeMat-Bulk | GGA-PBE | optimized geometry; symmetry = P4/mmm, No. 123; crystal system = tetragonal; energy of formation from the pure elements = -0.2488 eV/atom
1.0
-2.720 1.544 2.234
-2.523 -2.608 -1.269
5.021 -11.794 14.263
Zn Dy Ac
5 1 4
direct
0.500 0.500 0.500
0.500 0.500 0.921
0.500 0.500 0.079
0.500 0.500 0.294
0.500 0.500 0.706
0.000 0.000 0.000
0.000 0.000 0.811
0.000 0.000 0.397
0.000 0.000 0.189
0.000 0.000 0.603


4.
Li2CaRu | Alexandria via LeMat-Bulk | GGA-PBE | optimized geometry; energy above the most stable polymorph in this dataset = 0.091 eV per atom; symmetry = Pmmm, No. 47; crystal system = orthorhombic; energy of formation from the pure elements = 0.3515 eV/atom
1.0
-3.084 -1.206 0.392
1.721 -3.709 2.129
-0.358 2.321 4.332
Li Ca Ru
2 1 1
direct
0.000 0.000 0.000
0.500 0.500 0.000
0.000 0.500 0.500
0.500 0.000 0.500